[1]
# BaHfCr3

BaHfCr3 at its PBEsol-relaxed geometry (SCAN, Alexandria).

The structure belongs to space group Pm-3m (No. 221); the cell edges are 4.9832, 4.9832 and 4.9832 Å and the angles 90.00°, 90.00° and 90.00°. Symmetry generates all atoms from Ba at (0.0000, 0.0000, 0.0000), Hf at (0.5000, 0.5000, 0.5000) and Cr at (0.0000, 0.5000, 0.5000).

The energy of formation comes out at 5.2 eV per formula unit. Its volume is 123.7 Å³ per cell. As for the total energy: -30.44 eV/atom.


[2]
# BaHfMgCr2

BaHfMgCr2 at its PBEsol-relaxed geometry (SCAN, Alexandria).

The structure belongs to space group P4/mmm (No. 123); the cell edges are 4.8633, 4.8633 and 5.2685 Å and the angles 90.00°, 90.00° and 90.00°. Symmetry generates all atoms from Ba at (0.0000, 0.0000, 0.0000), Hf at (0.5000, 0.5000, 0.5000), Mg at (0.0000, 0.0000, 0.5000) and Cr at (0.0000, 0.5000, 0.0000).

The energy of formation comes out at 10.2 eV per formula unit. Its volume is 124.6 Å³ per cell. As for the total energy: -26.74 eV/atom.


[3]
# BaCrHg2N

BaCrHg2N at its PBEsol-relaxed geometry (SCAN, Alexandria).

The structure belongs to space group P4/mmm (No. 123); the cell edges are 6.3298, 6.3298 and 4.4005 Å and the angles 90.00°, 90.00° and 90.00°. Symmetry generates all atoms from Ba at (0.0000, 0.0000, 0.0000), Cr at (0.5000, 0.5000, 0.5000), Hg at (0.0000, 0.5000, 0.0000) and N at (0.0000, 0.0000, 0.5000).

The calculation puts the formation energy from raw total energies at 955.7 meV per atom. Its volume is 176.3 Å³ per cell. As for the total energy: -39.76 eV/atom.


[4]
# BaSrCr2Hg

BaSrCr2Hg at its PBEsol-relaxed geometry (SCAN, Alexandria).

The structure belongs to space group P4/mmm (No. 123); the cell edges are 5.5567, 5.5567 and 6.3641 Å and the angles 90.00°, 90.00° and 90.00°. Symmetry generates all atoms from Ba at (0.0000, 0.0000, 0.0000), Sr at (0.0000, 0.0000, 0.5000), Cr at (0.0000, 0.5000, 0.5000) and Hg at (0.5000, 0.5000, 0.0000).

The energy of formation comes out at 6.5 eV per formula unit. Its volume is 196.5 Å³ per cell. As for the total energy: -32.06 eV/atom.


[5]
# BaCrI3

BaCrI3 at its PBEsol-relaxed geometry (SCAN, Alexandria).

The structure belongs to space group Pm-3m (No. 221); the cell edges are 6.5614, 6.5614 and 6.5614 Å and the angles 90.00°, 90.00° and 90.00°. Symmetry generates all atoms from Ba at (0.0000, 0.0000, 0.0000), Cr at (0.5000, 0.5000, 0.5000) and I at (0.0000, 0.0000, 0.5000).

The calculation puts the formation energy from raw total energies at -566.7 meV per atom. Its volume is 282.5 Å³ per cell. As for the total energy: -34.20 eV/atom.


[6]
# BaCrIn2I

BaCrIn2I at its PBEsol-relaxed geometry (SCAN, Alexandria).

The structure belongs to space group P4/mmm (No. 123); the cell edges are 6.4986, 6.4986 and 6.3277 Å and the angles 90.00°, 90.00° and 90.00°. Symmetry generates all atoms from Ba at (0.0000, 0.0000, 0.0000), Cr at (0.5000, 0.5000, 0.5000), In at (0.0000, 0.5000, 0.0000) and I at (0.0000, 0.0000, 0.5000).

The calculation puts the formation energy from raw total energies at 653.9 meV per atom. Its volume is 267.2 Å³ per cell. As for the total energy: -31.64 eV/atom.


[7]
# BaCrIN2

BaCrIN2 at its PBEsol-relaxed geometry (SCAN, Alexandria).

The structure belongs to space group P4/mmm (No. 123); the cell edges are 4.2517, 4.2517 and 5.2112 Å and the angles 90.00°, 90.00° and 90.00°. Symmetry generates all atoms from Ba at (0.0000, 0.0000, 0.0000), Cr at (0.5000, 0.5000, 0.5000), I at (0.5000, 0.5000, 0.0000) and N at (0.0000, 0.5000, 0.5000).

The calculation puts the formation energy from raw total energies at 163.9 meV per atom. Its volume is 94.2 Å³ per cell. As for the total energy: -22.49 eV/atom.


[8]
# Ba2CrPbI

Ba2CrPbI at its PBEsol-relaxed geometry (SCAN, Alexandria).

The structure belongs to space group P4/mmm (No. 123); the cell edges are 6.4138, 6.4138 and 5.8897 Å and the angles 90.00°, 90.00° and 90.00°. Symmetry generates all atoms from Ba at (0.0000, 0.5000, 0.0000), Cr at (0.0000, 0.0000, 0.5000), Pb at (0.5000, 0.5000, 0.5000) and I at (0.5000, 0.5000, 0.0000).

The calculation puts the formation energy from raw total energies at 141.4 meV per atom. Its volume is 242.3 Å³ per cell. As for the total energy: -41.86 eV/atom.